(A)
DFT (PBE-GGA) results for an optimized crystal structure of BeCr2Pb.

Properties
Calculated density: 8.81 g cm⁻³
D(E_F): 3.31 states/eV/cell
Total moment: 2.2 μB per formula unit

Lattice parameters (Å, degrees): 6.919 6.919 6.919 27.02 27.02 27.02
Element x y z (fractional)
Be (0.000, 0.000, 0.000)
Cr (0.279, 0.279, 0.279)
Cr (0.721, 0.721, 0.721)
Pb (0.500, 0.500, 0.500)



(B)
DFT (PBE-GGA) results for an optimized crystal structure of BeCr2Pb.

Properties
Calculated density: 8.84 g cm⁻³
D(E_F): 1.58 states/eV/cell
Total moment: 0.5 μB per formula unit

Lattice parameters (Å, degrees): 3.078 3.078 6.349 90.00 90.00 90.00
Element x y z (fractional)
Be (0.000, 0.000, 0.000)
Cr (0.000, 0.000, 0.364)
Cr (0.500, 0.500, 0.163)
Pb (0.500, 0.500, 0.686)



Least stable = (A)



(A)
DFT (PBE-GGA) results for an optimized crystal structure of BeCr3Pb.

Properties
Calculated density: 4.40 g cm⁻³
D(E_F): 5.29 states/eV/cell
Total moment: 13.2 μB per formula unit

Lattice parameters (Å, degrees): 5.198 5.198 5.198 90.00 90.00 90.00
Element x y z (fractional)
Be (0.000, 0.000, 0.000)
Cr (0.000, 0.500, 0.500)
Cr (0.500, 0.000, 0.500)
Cr (0.500, 0.500, 0.000)
Pb (0.500, 0.500, 0.500)



(B)
DFT (PBE-GGA) results for an optimized crystal structure of BeCr3Pb.

Properties
Calculated density: 8.01 g cm⁻³
D(E_F): 1.92 states/eV/cell
Total moment: 7.8 μB per formula unit

Lattice parameters (Å, degrees): 4.258 4.258 4.258 90.00 90.00 90.00
Element x y z (fractional)
Be (0.000, 0.000, 0.000)
Cr (0.000, 0.000, 0.500)
Cr (0.000, 0.500, 0.000)
Cr (0.500, 0.000, 0.000)
Pb (0.500, 0.500, 0.500)



Least stable = (A)